Material: ThPaBiO6
Method: DFT, PBE
State: relaxed

a b c (Å): 6.0996 6.0996 9.3091
angles (deg): 90.00 90.00 120.00
Last column: nearest neighbours and their distance in Å.
Fractional coordinates of all 18 atoms:
O (0.6622, 0.6458, 0.6350)  1 Pa 2.20, 1 Th 2.33, 1 Bi 2.46
O (0.9836, 0.3378, 0.6350)  1 Pa 2.20, 1 Th 2.33, 1 Bi 2.46
O (0.0164, 0.6622, 0.3650)  1 Pa 2.20, 1 Th 2.33, 1 Bi 2.46
O (0.6458, 0.6622, 0.1350)  1 Pa 2.20, 1 Th 2.33, 1 Bi 2.46
O (0.6458, 0.9836, 0.3650)  1 Pa 2.20, 1 Th 2.33, 1 Bi 2.46
O (0.3378, 0.9836, 0.1350)  1 Pa 2.20, 1 Th 2.33, 1 Bi 2.46
O (0.0164, 0.3542, 0.1350)  1 Pa 2.20, 1 Th 2.33, 1 Bi 2.46
O (0.6622, 0.0164, 0.8650)  1 Pa 2.20, 1 Th 2.33, 1 Bi 2.46
O (0.3542, 0.3378, 0.8650)  1 Pa 2.20, 1 Th 2.33, 1 Bi 2.46
O (0.3542, 0.0164, 0.6350)  1 Pa 2.20, 1 Th 2.33, 1 Bi 2.46
O (0.9836, 0.6458, 0.8650)  1 Pa 2.20, 1 Th 2.33, 1 Bi 2.46
O (0.3378, 0.3542, 0.3650)  1 Pa 2.20, 1 Th 2.33, 1 Bi 2.46
Bi (0.0000, 0.0000, 0.5000)  6 O 2.46
Bi (0.0000, 0.0000, 0.0000)  6 O 2.46
Th (0.6667, 0.3333, 0.2500)  6 O 2.33
Th (0.3333, 0.6667, 0.7500)  6 O 2.33
Pa (0.3333, 0.6667, 0.2500)  6 O 2.20
Pa (0.6667, 0.3333, 0.7500)  6 O 2.20

Results
E_tot   -8.487 eV/atom
Space group   No. 163
Formation energy (no corrections)   -2.8710 eV per atom

Material: ThPaBi2O8
Method: DFT, PBE
State: relaxed

a b c (Å): 6.4312 6.4312 6.4312
angles (deg): 110.47 110.47 107.50
Last column: nearest neighbours and their distance in Å.
Fractional coordinates of all 12 atoms:
O (0.7362, 0.0333, 0.7029)  1 Pa 2.19, 1 Bi 2.22
O (0.3303, 0.0333, 0.2971)  1 Pa 2.19, 1 Bi 2.22
O (0.2825, 0.4691, 0.1866)  1 Bi 2.15, 1 Th 2.31
O (0.9667, 0.2638, 0.2971)  1 Pa 2.19, 1 Bi 2.22
O (0.9667, 0.6697, 0.7029)  1 Pa 2.19, 1 Bi 2.22
O (0.2825, 0.0959, 0.8134)  1 Bi 2.15, 1 Th 2.31
O (0.5309, 0.7175, 0.8134)  1 Bi 2.15, 1 Th 2.31
O (0.9041, 0.7175, 0.1866)  1 Bi 2.15, 1 Th 2.31
Th (0.2500, 0.7500, 0.5000)  4 O 2.31
Bi (0.7500, 0.2500, 0.5000)  4 O 2.22
Bi (0.5000, 0.5000, 0.0000)  4 O 2.15
Pa (0.0000, 0.0000, 0.0000)  4 O 2.19

Results
E_tot   -7.680 eV/atom
Space group   No. 119
Formation energy (no corrections)   -2.3176 eV per atom

Material: PaTi2BiO8
Method: DFT, PBE
State: relaxed

a b c (Å): 5.9273 5.9273 6.6960
angles (deg): 90.00 90.00 120.00
Last column: nearest neighbours and their distance in Å.
Fractional coordinates of all 12 atoms:
O (0.8434, 0.1566, 0.2207)  1 Ti 1.90
O (0.3133, 0.1566, 0.2207)  1 Ti 1.90
O (0.1566, 0.3133, 0.7793)  1 Ti 1.90
O (0.6867, 0.8434, 0.7793)  1 Ti 1.90
O (0.1566, 0.8434, 0.7793)  1 Ti 1.90
O (0.6667, 0.3333, 0.5578)  1 Ti 1.69
O (0.3333, 0.6667, 0.4422)  1 Ti 1.69
O (0.8434, 0.6867, 0.2207)  1 Ti 1.90
Pa (0.0000, 0.0000, 0.0000)  6 O 2.18
Bi (0.0000, 0.0000, 0.5000)  6 O 2.47
Ti (0.6667, 0.3333, 0.3057)  1 O 1.69
Ti (0.3333, 0.6667, 0.6943)  1 O 1.69

Results
E_tot   -8.381 eV/atom
Space group   No. 164
Formation energy (no corrections)   -2.6451 eV per atom

Material: Pa3Tl4BiO12
Method: DFT, PBE
State: relaxed

a b c (Å): 7.5825 7.5825 7.5825
angles (deg): 109.47 109.47 109.47
Last column: nearest neighbours and their distance in Å.
Fractional coordinates of all 20 atoms:
O (0.2492, 0.2492, 0.0000)  1 Bi 2.18, 1 Pa 2.20
O (0.5000, 0.7500, 0.2500)  2 Pa 2.19
O (0.7500, 0.2500, 0.5000)  2 Pa 2.19
O (0.2500, 0.5000, 0.7500)  2 Pa 2.19
O (0.0000, 0.7508, 0.7508)  1 Bi 2.18, 1 Pa 2.20
O (0.7508, 0.0000, 0.7508)  1 Bi 2.18, 1 Pa 2.20
O (0.2500, 0.7500, 0.5000)  2 Pa 2.19
O (0.7500, 0.5000, 0.2500)  2 Pa 2.19
O (0.5000, 0.2500, 0.7500)  2 Pa 2.19
O (0.2492, 0.0000, 0.2492)  1 Bi 2.18, 1 Pa 2.20
O (0.0000, 0.2492, 0.2492)  1 Bi 2.18, 1 Pa 2.20
O (0.7508, 0.7508, 0.0000)  1 Bi 2.18, 1 Pa 2.20
Bi (0.0000, 0.0000, 0.0000)  6 O 2.18
Tl (0.5000, 0.0000, 0.0000)  12 O 3.10
Tl (0.5000, 0.5000, 0.5000)  12 O 3.10
Tl (0.0000, 0.0000, 0.5000)  12 O 3.10
Tl (0.0000, 0.5000, 0.0000)  12 O 3.10
Pa (0.5000, 0.5000, 0.0000)  6 O 2.19-2.20
Pa (0.0000, 0.5000, 0.5000)  6 O 2.19-2.20
Pa (0.5000, 0.0000, 0.5000)  6 O 2.19-2.20

Results
E_tot   -7.323 eV/atom
Space group   No. 229
Formation energy (no corrections)   -2.2560 eV per atom

no.,DOS(E_F) (states/eV/f.u.),M_tot (μB/atom)
1,0.00,0.000
2,3.25,0.069
3,0.00,0.000
4,0.03,0.000